This record from the Open Quantum Materials Database describes a relaxed Sb2PdPt crystal. The functional is PBE.

POSCAR file:
```
Sb2PdPt
1.0
3.7121 0.0000 0.0000
-1.8561 3.2148 0.0000
0.0000 0.0000 7.1915
Pd Pt Sb
1 1 2
Direct
0.0000 0.0000 0.0000 Pd
0.3333 0.6667 0.5000 Pt
0.6667 0.3333 0.2547 Sb
0.6667 0.3333 0.7453 Sb
```

Results
The total energy is -20.25 eV/f.u.